(1)
# LiHo4Mg3 PBE optimized geometry
# **Density**: 5.80 g/cm3
# **Uncorrected energy**: -3.141 eV/atom
# **M_tot**: 0.00 μB per formula unit
# **DFT formation energy**: -12 kJ/mol of formula units
data_LiHo4Mg3
_cell_length_a 5.3147
_cell_length_b 5.3147
_cell_length_c 25.9879
_cell_angle_alpha 90.00
_cell_angle_beta 90.00
_cell_angle_gamma 120.00
_symmetry_space_group_name_H-M 'R -3 m'
_symmetry_Int_Tables_number 166
_symmetry_space_group_name_Hall '-R 3 2"'
loop_
_atom_site_label
_atom_site_fract_x
_atom_site_fract_y
_atom_site_fract_z
Li1 0.0000 0.0000 0.0000
Ho1 0.0000 0.0000 0.1238
Ho2 0.0000 0.0000 0.3741
Mg1 0.0000 0.0000 0.2484
Mg2 0.0000 0.0000 0.5000

---

(2)
# BaPm2Si2 PBE optimized geometry
# **Density**: 3.17 g/cm3
# **Uncorrected energy**: -4.486 eV/atom
# **M_tot**: 0.00 μB per formula unit
# **Energy relative to the elements, uncorrected**: -0.2 eV/f.u.
data_BaPm2Si2
_cell_length_a 5.572
_cell_length_b 5.572
_cell_length_c 16.331
_cell_angle_alpha 90.00
_cell_angle_beta 90.00
_cell_angle_gamma 90.00
_symmetry_space_group_name_H-M 'I 4/m m m'
_symmetry_Int_Tables_number 139
_symmetry_space_group_name_Hall '-I 4 2'
loop_
_atom_site_label
_atom_site_fract_x
_atom_site_fract_y
_atom_site_fract_z
Ba1 0.000 0.000 0.000
Pm1 0.000 0.500 0.250
Si1 0.000 0.000 0.190

---

(3)
# LiCuGeRu PBE optimized geometry
# **Density**: 7.92 g/cm3
# **Uncorrected energy**: -5.133 eV/atom
# **M_tot**: 0.00 μB per formula unit
# **DFT formation energy**: -61 kJ/mol of formula units
# **Excess energy over the best structure of this formula in the dataset**: 22 meV/atom
data_LiCuGeRu
_cell_length_a 4.067
_cell_length_b 4.067
_cell_length_c 6.191
_cell_angle_alpha 90.00
_cell_angle_beta 90.00
_cell_angle_gamma 90.00
_symmetry_space_group_name_H-M 'I -4 m 2'
_symmetry_Int_Tables_number 119
_symmetry_space_group_name_Hall 'I -4 -2'
loop_
_atom_site_label
_atom_site_fract_x
_atom_site_fract_y
_atom_site_fract_z
Li1 0.000 0.000 0.000
Cu1 0.000 0.500 0.750
Ge1 0.000 0.000 0.500
Ru1 0.000 0.500 0.250

---

(4)
# Tm12In3Hg PBE optimized geometry
# **Density**: 9.82 g/cm3
# **Uncorrected energy**: -4.116 eV/atom
# **M_tot**: 0.00 μB per formula unit
# **DFT formation energy**: -356 kJ/mol of formula units
data_Tm12In3Hg
_cell_length_a 4.771
_cell_length_b 4.771
_cell_length_c 19.106
_cell_angle_alpha 90.00
_cell_angle_beta 90.00
_cell_angle_gamma 90.00
_symmetry_space_group_name_H-M 'P 4/m m m'
_symmetry_Int_Tables_number 123
_symmetry_space_group_name_Hall '-P 4 2'
loop_
_atom_site_label
_atom_site_fract_x
_atom_site_fract_y
_atom_site_fract_z
Tm1 0.000 0.000 0.000
Tm2 0.000 0.000 0.249
Tm3 0.000 0.000 0.500
Tm4 0.000 0.500 0.124
Tm5 0.000 0.500 0.375
In1 0.500 0.500 0.249
In2 0.500 0.500 0.500
Hg1 0.500 0.500 0.000

---

Repeat the second record exactly.
# BaPm2Si2 PBE optimized geometry
# **Density**: 3.17 g/cm3
# **Uncorrected energy**: -4.486 eV/atom
# **M_tot**: 0.00 μB per formula unit
# **Energy relative to the elements, uncorrected**: -0.2 eV/f.u.
data_BaPm2Si2
_cell_length_a 5.572
_cell_length_b 5.572
_cell_length_c 16.331
_cell_angle_alpha 90.00
_cell_angle_beta 90.00
_cell_angle_gamma 90.00
_symmetry_space_group_name_H-M 'I 4/m m m'
_symmetry_Int_Tables_number 139
_symmetry_space_group_name_Hall '-I 4 2'
loop_
_atom_site_label
_atom_site_fract_x
_atom_site_fract_y
_atom_site_fract_z
Ba1 0.000 0.000 0.000
Pm1 0.000 0.500 0.250
Si1 0.000 0.000 0.190